1.
CsLiAc2Te4 | PBE | relaxed

```
data_CsLiAc2Te4
_space_group_name_H-M_alt 'C m c m'
_space_group_IT_number 63
_space_group_name_Hall '-C 2c 2'
_cell_length_a 4.839
_cell_length_b 16.339
_cell_length_c 16.633
_cell_angle_alpha 90.00
_cell_angle_beta 90.00
_cell_angle_gamma 90.00
loop_
_atom_site_label
_atom_site_type_symbol
_atom_site_fract_x
_atom_site_fract_y
_atom_site_fract_z
Cs1 Cs 0.000 0.107 0.250
Li1 Li 0.000 0.164 0.750
Ac1 Ac 0.000 0.366 0.060
Te1 Te 0.000 0.000 0.000
Te2 Te 0.000 0.262 0.612
Te3 Te 0.000 0.423 0.250
```

Summary:
The density is 5.58 g/cm3. As for the uncorrected formation energy: -1.451 eV/atom. The calculation puts the magnetization at 0.0 μB/f.u.


2.
Cs4Ac3MgO8 | PBE | relaxed

```
data_Cs4Ac3MgO8
_space_group_name_H-M_alt 'C 1 2/m 1'
_space_group_IT_number 12
_space_group_name_Hall '-C 2y'
_cell_length_a 13.545
_cell_length_b 7.416
_cell_length_c 8.145
_cell_angle_alpha 90.00
_cell_angle_beta 120.79
_cell_angle_gamma 90.00
loop_
_atom_site_label
_atom_site_type_symbol
_atom_site_fract_x
_atom_site_fract_y
_atom_site_fract_z
Cs1 Cs 0.000 0.000 0.000
Cs2 Cs 0.000 0.500 0.000
Cs3 Cs 0.250 0.250 0.000
Ac1 Ac 0.000 0.000 0.500
Ac2 Ac 0.250 0.250 0.500
Mg1 Mg 0.000 0.500 0.500
O1 O 0.027 0.276 0.344
O2 O 0.220 0.000 0.678
O3 O 0.245 0.000 0.295
```

Summary:
The density is 6.45 g/cm3. As for the uncorrected formation energy: -2.179 eV/atom. The calculation puts the magnetization at 1.0 μB/f.u. Its density of states at the Fermi level is 9.57 states/eV/f.u.


3.
CsAcMgO3 | PBE | relaxed

```
data_CsAcMgO3
_space_group_name_H-M_alt 'C 1 2/m 1'
_space_group_IT_number 12
_space_group_name_Hall '-C 2y'
_cell_length_a 14.187
_cell_length_b 4.116
_cell_length_c 8.274
_cell_angle_alpha 90.00
_cell_angle_beta 104.88
_cell_angle_gamma 90.00
loop_
_atom_site_label
_atom_site_type_symbol
_atom_site_fract_x
_atom_site_fract_y
_atom_site_fract_z
Cs1 Cs 0.147 0.000 0.070
Ac1 Ac 0.152 0.000 0.579
Mg1 Mg 0.010 0.500 0.295
O1 O 0.011 0.000 0.319
O2 O 0.138 0.500 0.757
O3 O 0.161 0.500 0.377
```

Summary:
The density is 6.15 g/cm3. As for the uncorrected formation energy: -2.391 eV/atom. The calculation puts the magnetization at 0.0 μB/f.u. Its density of states at the Fermi level is 0.00 states/eV/f.u.


4.
Cs2AcMg2S4 | PBE | relaxed

```
data_Cs2AcMg2S4
_space_group_name_H-M_alt 'C 1 2/m 1'
_space_group_IT_number 12
_space_group_name_Hall '-C 2y'
_cell_length_a 16.565
_cell_length_b 4.225
_cell_length_c 8.512
_cell_angle_alpha 90.00
_cell_angle_beta 110.08
_cell_angle_gamma 90.00
loop_
_atom_site_label
_atom_site_type_symbol
_atom_site_fract_x
_atom_site_fract_y
_atom_site_fract_z
Cs1 Cs 0.126 0.000 0.039
Ac1 Ac 0.000 0.000 0.500
Mg1 Mg 0.175 0.500 0.475
S1 S 0.032 0.500 0.267
S2 S 0.203 0.000 0.644
```

Summary:
The density is 3.97 g/cm3. As for the uncorrected formation energy: -1.399 eV/atom. The calculation puts the magnetization at 0.0 μB/f.u. Its density of states at the Fermi level is 3.64 states/eV/f.u.


5.
CsAc2MgSe4 | PBE | relaxed

```
data_CsAc2MgSe4
_space_group_name_H-M_alt 'C m c m'
_space_group_IT_number 63
_space_group_name_Hall '-C 2c 2'
_cell_length_a 4.423
_cell_length_b 15.875
_cell_length_c 15.628
_cell_angle_alpha 90.00
_cell_angle_beta 90.00
_cell_angle_gamma 90.00
loop_
_atom_site_label
_atom_site_type_symbol
_atom_site_fract_x
_atom_site_fract_y
_atom_site_fract_z
Cs1 Cs 0.000 0.103 0.250
Ac1 Ac 0.000 0.371 0.050
Mg1 Mg 0.000 0.172 0.750
Se1 Se 0.000 0.000 0.000
Se2 Se 0.000 0.262 0.614
Se3 Se 0.000 0.417 0.250
```

Summary:
The density is 5.61 g/cm3. As for the uncorrected formation energy: -1.649 eV/atom. The calculation puts the magnetization at 0.0 μB/f.u. Its density of states at the Fermi level is 1.85 states/eV/f.u.


6.
Cs3Ac2MgSe6 | PBE | relaxed

```
data_Cs3Ac2MgSe6
_space_group_name_H-M_alt 'C 1 2/m 1'
_space_group_IT_number 12
_space_group_name_Hall '-C 2y'
_cell_length_a 7.771
_cell_length_b 13.480
_cell_length_c 8.823
_cell_angle_alpha 90.00
_cell_angle_beta 107.19
_cell_angle_gamma 90.00
loop_
_atom_site_label
_atom_site_type_symbol
_atom_site_fract_x
_atom_site_fract_y
_atom_site_fract_z
Cs1 Cs 0.000 0.000 0.000
Cs2 Cs 0.000 0.331 0.000
Ac1 Ac 0.000 0.166 0.500
Mg1 Mg 0.000 0.500 0.500
Se1 Se 0.219 0.344 0.690
Se2 Se 0.248 0.500 0.308
```

Summary:
The density is 5.08 g/cm3. As for the uncorrected formation energy: -1.446 eV/atom. The calculation puts the magnetization at 0.0 μB/f.u. Its density of states at the Fermi level is 21.17 states/eV/f.u.


7.
Cs2AcMg2Te4 | PBE | relaxed

```
data_Cs2AcMg2Te4
_space_group_name_H-M_alt 'C 1 2/m 1'
_space_group_IT_number 12
_space_group_name_Hall '-C 2y'
_cell_length_a 17.780
_cell_length_b 4.671
_cell_length_c 9.333
_cell_angle_alpha 90.00
_cell_angle_beta 108.67
_cell_angle_gamma 90.00
loop_
_atom_site_label
_atom_site_type_symbol
_atom_site_fract_x
_atom_site_fract_y
_atom_site_fract_z
Cs1 Cs 0.127 0.000 0.044
Ac1 Ac 0.000 0.000 0.500
Mg1 Mg 0.172 0.500 0.477
Te1 Te 0.024 0.500 0.255
Te2 Te 0.205 0.000 0.666
```

Summary:
The density is 4.76 g/cm3. As for the uncorrected formation energy: -1.084 eV/atom. The calculation puts the magnetization at 0.5 μB/f.u. Its density of states at the Fermi level is 4.12 states/eV/f.u.


> Which value of magnetization does entry 5 give?

0.0 μB/f.u.